[1]
Material: CaGaCuAu2
Method: DFT, GGA-PBE
State: optimized geometry

Its crystal system is orthorhombic.

Unit cell a=5.4094 b=13.8451 c=5.4363 alpha=90.00 beta=90.00 gamma=90.00
Space group Cmme (No. 67)
Asymmetric unit:
Ca1 0.0000 0.2500 0.2220 (multiplicity 4)
Ga1 0.0000 0.0000 0.0000 (multiplicity 4)
Cu1 0.2500 0.0000 0.5000 (multiplicity 4)
Au1 0.0000 0.1479 0.7114 (multiplicity 8)

---

[2]
Material: LaErTh
Method: DFT, GGA-PBE
State: optimized geometry

The value obtained for the distance to the lowest polymorph of the same formula is 0.017 eV per atom. Its crystal system is triclinic.

Unit cell a=6.2559 b=6.9098 c=9.3901 alpha=97.11 beta=90.06 gamma=90.03
Space group P-1 (No. 2)
Asymmetric unit:
La1 0.1702 0.1640 0.4100 (multiplicity 2)
La2 0.3305 0.6648 0.4096 (multiplicity 2)
Er1 0.1694 0.5057 0.7615 (multiplicity 2)
Er2 0.3303 0.0059 0.7623 (multiplicity 2)
Th1 0.1622 0.8283 0.0764 (multiplicity 2)
Th2 0.3377 0.3292 0.0770 (multiplicity 2)

---

| no. | energy relative to the elements (eV/atom) | DOS at the Fermi energy (states/eV/atom) |
| --- | --- | --- |
| 1 | -0.35 | 0.386 |
| 2 | 0.05 | 1.686 |